1.
The following is a DFT calculation (GGA-PBE) of a geometry-optimized Ba2In7Cu structure.

Structure (POSCAR):
```
Ba2In7Cu
1.0
4.933 0.000 0.000
0.000 4.933 0.000
0.000 0.000 12.167
Ba In Cu
2 7 1
Cartesian
0.000 2.466 2.923 Ba
2.466 0.000 9.244 Ba
0.000 0.000 0.000 In
0.000 0.000 6.083 In
0.000 2.466 7.814 In
0.000 2.466 10.705 In
2.466 0.000 1.461 In
2.466 0.000 4.353 In
2.466 2.466 6.083 In
2.466 2.466 0.000 Cu
```

Formation energy from the elements ... -0.289 eV per atom

2.
The following is a DFT calculation (GGA-PBE) of a geometry-optimized ScFePCl2 structure.

Structure (POSCAR):
```
ScFePCl2
1.0
4.492 0.000 0.000
0.000 4.492 0.000
0.000 0.000 4.562
Sc Fe P Cl
1 1 1 2
Cartesian
0.000 0.000 0.000 Sc
2.246 2.246 2.281 Fe
2.246 2.246 0.000 P
0.000 2.246 2.281 Cl
2.246 0.000 2.281 Cl
```

Energy relative to the elements, uncorrected ... -0.183 eV per atom
Distance to the lowest polymorph of the same formula ... 2.7 kJ per mole of atoms

3.
The following is a DFT calculation (GGA-PBE) of a geometry-optimized Ta2CuOs structure.

Structure (POSCAR):
```
Ta2CuOs
1.0
4.616 -1.520 0.000
4.616 1.520 0.000
-1.116 0.000 4.541
Ta Cu Os
2 1 1
Cartesian
0.000 0.000 0.000 Ta
1.407 0.000 3.172 Ta
3.966 0.000 2.211 Cu
6.656 0.000 1.043 Os
```

Formation energy from the elements ... -0.006 eV per atom